Entry 1:
A plane-wave DFT calculation with PBE was carried out for a relaxed RbAs2PH6 crystal.

The structure in POSCAR format:
```
RbAs2PH6
1.0
-3.851 -1.478 4.224
-1.209 -3.595 -2.359
6.417 -7.486 8.120
H As P Rb
12 4 2 2
Cartesian
0.956 -1.878 1.328
-0.575 -5.289 3.082
1.196 -6.248 8.715
6.138 -8.026 7.694
0.161 -6.311 1.270
1.933 -7.269 6.903
-4.780 -4.532 2.291
0.560 -6.923 4.642
-0.636 -3.400 1.471
0.798 -5.635 5.343
0.402 -10.681 8.658
1.993 -9.159 8.515
0.565 -3.127 0.506
2.378 -6.032 7.714
0.793 -9.432 9.479
-1.021 -6.527 2.272
1.283 -4.482 6.172
-0.604 -1.798 -1.180
2.604 -5.541 2.881
-1.925 -0.739 2.112
```

Results
E_tot = -3.499 eV/atom



Entry 2:
A plane-wave DFT calculation with PBE was carried out for a relaxed AsPHRh2 crystal.

The structure in POSCAR format:
```
AsPHRh2
1.0
4.598 0.000 0.000
0.000 3.122 0.000
0.000 0.000 4.598
H Rh As P
1 2 1 1
Cartesian
0.000 1.561 0.000
0.000 0.000 2.299
2.299 0.000 0.000
2.299 1.561 2.299
0.000 0.000 0.000
```

Results
E_tot = -5.597 eV/atom



Entry 3:
A plane-wave DFT calculation with PBE was carried out for a relaxed AsPHS2 crystal.

The structure in POSCAR format:
```
AsPHS2
1.0
-0.958 -2.362 -4.083
-1.189 -3.911 2.542
-4.523 1.501 0.193
H S As P
1 2 1 1
Cartesian
-3.335 -2.386 -0.674
-0.479 -1.181 -2.041
-0.595 -1.955 1.271
0.000 0.000 0.000
-2.261 0.750 0.097
```

Results
Excess energy over the best structure of this formula in the dataset = 510.7 meV/atom
E_tot = -3.073 eV/atom



Entry 4:
A plane-wave DFT calculation with PBE was carried out for a relaxed AsPH2S4 crystal.

The structure in POSCAR format:
```
AsPH2S4
1.0
-3.732 -3.829 4.373
6.700 -0.956 1.383
-1.635 6.682 0.718
S As H P
8 2 4 2
Cartesian
0.282 3.050 4.624
1.051 -1.154 1.850
1.367 -0.302 5.187
-0.034 2.199 1.287
2.931 4.673 2.926
3.127 1.161 2.745
-1.794 0.735 3.728
-1.598 -2.777 3.547
-1.200 -0.967 5.423
3.350 -0.478 0.692
-2.683 1.426 2.545
1.484 -2.393 2.878
-0.817 3.341 0.359
-1.866 -1.915 2.186
0.666 0.948 3.237
-5.367 2.853 5.090
```

Results
E_tot = -3.946 eV/atom



Entry 5:
A plane-wave DFT calculation with PBE was carried out for a relaxed AsPHS2 crystal.

The structure in POSCAR format:
```
AsPHS2
1.0
4.702 0.000 0.000
0.000 4.702 0.000
0.000 0.000 3.220
H P S As
1 1 2 1
Cartesian
0.000 0.000 0.000
0.000 0.000 1.610
2.351 0.000 0.000
0.000 2.351 0.000
2.351 2.351 1.610
```

Results
Excess energy over the best structure of this formula in the dataset = 0.0 meV/atom
E_tot = -3.583 eV/atom



Entry 6:
A plane-wave DFT calculation with PBE was carried out for a relaxed AsPHSe2 crystal.

The structure in POSCAR format:
```
AsPHSe2
1.0
4.837 0.000 0.000
0.000 4.837 0.000
0.000 0.000 3.467
Se As H P
2 1 1 1
Cartesian
2.418 0.000 0.000
0.000 2.418 0.000
0.000 0.000 1.733
0.000 0.000 0.000
2.418 2.418 1.733
```

Results
Excess energy over the best structure of this formula in the dataset = 0.0 meV/atom
E_tot = -3.322 eV/atom



Entry 7:
A plane-wave DFT calculation with PBE was carried out for a relaxed AsPHSe2 crystal.

The structure in POSCAR format:
```
AsPHSe2
1.0
4.939 0.000 0.000
0.000 4.939 0.000
0.000 0.000 4.722
As P Se H
1 1 2 1
Cartesian
0.000 0.000 2.361
0.000 0.000 0.000
2.470 0.000 0.000
0.000 2.470 0.000
2.470 2.470 2.361
```

Results
Excess energy over the best structure of this formula in the dataset = 260.7 meV/atom
E_tot = -3.061 eV/atom



Entry 8:
A plane-wave DFT calculation with PBE was carried out for a relaxed Sr6As2PH crystal.

The structure in POSCAR format:
```
Sr6As2PH
1.0
-7.223 0.952 1.461
-1.448 -7.292 -2.410
-0.086 -3.584 10.899
Sr As H P
12 4 2 2
Cartesian
-7.123 -8.439 9.177
-1.642 -2.839 4.577
-3.805 -9.146 6.337
-5.476 -3.741 6.642
-3.282 -6.184 3.307
-4.952 -0.779 3.612
-3.308 -5.001 -0.553
-1.635 -1.486 0.773
-5.449 -4.924 10.503
-7.116 -7.086 5.373
-6.846 -4.222 2.496
-1.911 -5.703 7.453
-1.726 -7.566 0.976
-7.032 -2.359 8.973
-4.930 -6.612 7.906
-3.828 -3.313 2.043
-0.767 -5.438 4.244
-3.612 0.476 0.730
-3.655 -1.316 6.180
-0.724 -3.646 -1.205
```

Results
E_tot = -3.646 eV/atom



Entry 9:
A plane-wave DFT calculation with PBE was carried out for a relaxed Sr4AsPH crystal.

The structure in POSCAR format:
```
Sr4AsPH
1.0
-4.738 0.540 -0.263
-0.601 -4.293 2.006
2.652 5.431 6.732
Sr P H As
4 1 1 1
Cartesian
-0.300 -2.143 1.010
-2.369 0.274 -0.124
-2.681 0.423 5.789
-0.007 1.345 2.877
-0.013 2.652 5.672
-2.686 1.512 8.118
-2.674 -0.903 2.952
```

Results
E_tot = -3.702 eV/atom



Entry 10:
A plane-wave DFT calculation with PBE was carried out for a relaxed U2AsPH2 crystal.

The structure in POSCAR format:
```
U2AsPH2
1.0
3.818 0.000 0.000
-1.909 3.306 0.000
0.000 0.000 7.309
As H U P
1 2 2 1
Cartesian
0.000 0.000 3.655
0.000 2.204 5.524
1.909 1.102 1.785
1.909 1.102 5.555
0.000 2.204 1.754
0.000 0.000 0.000
```

Results
E_tot = -7.276 eV/atom



Entry 11:
A plane-wave DFT calculation with PBE was carried out for a relaxed V2AsPH crystal.

The structure in POSCAR format:
```
V2AsPH
1.0
-0.546 2.686 -3.673
-4.475 0.598 1.103
1.110 3.666 2.516
As H V P
1 1 2 1
Cartesian
-2.238 0.299 0.551
-1.956 3.475 -0.027
-0.273 1.343 -1.837
0.555 1.833 1.258
0.000 0.000 0.000
```

Results
E_tot = -5.292 eV/atom



Entry 12:
A plane-wave DFT calculation with PBE was carried out for a relaxed YAsP2H crystal.

The structure in POSCAR format:
```
YAsP2H
1.0
4.519 0.000 0.000
0.000 3.860 0.000
0.000 0.000 4.519
P As H Y
2 1 1 1
Cartesian
0.000 0.000 2.259
2.259 0.000 0.000
0.000 1.930 0.000
0.000 0.000 0.000
2.259 1.930 2.259
```

Results
E_tot = -5.128 eV/atom



> The highest E_tot belongs to which entry?

number 7